Record 1
SiRh3W meta-GGA SCAN single point on PBEsol structure; formation energy (no corrections) = 7.05 eV per formula unit; magnetic moment = 0.0 Bohr magnetons per cell; symmetry = No. 221; D(E_F) = 0.835 states/eV per atom
1.0
-2.509 3.052 -2.407
-2.045 -3.472 -2.272
-3.306 -0.169 3.232
Rh Si W
3 1 1
direct
0.000 0.000 0.500
0.500 0.000 0.000
0.000 0.500 0.000
0.500 0.500 0.500
0.000 0.000 0.000

***

Record 2
SiRhW3 meta-GGA SCAN single point on PBEsol structure; formation energy (no corrections) = 7.46 eV per formula unit; magnetic moment = 0.0 Bohr magnetons per cell; symmetry = No. 221; D(E_F) = 1.135 states/eV per atom
1.0
-1.773 1.793 3.598
2.056 -2.974 2.496
3.454 2.691 0.361
W Si Rh
3 1 1
direct
0.000 0.000 0.500
0.000 0.500 0.000
0.500 0.000 0.000
0.000 0.000 0.000
0.500 0.500 0.500

***

Record 3
Si2RhW meta-GGA SCAN single point on PBEsol structure; formation energy (no corrections) = -1.46 eV per formula unit; magnetic moment = 0.0 Bohr magnetons per cell; symmetry = No. 8; D(E_F) = 0.413 states/eV per atom
1.0
-0.848 2.659 0.033
-2.661 -0.805 -3.433
-1.980 -2.144 3.751
W Rh Si
1 1 2
direct
0.495 0.429 0.989
0.257 0.827 0.515
0.746 0.307 0.492
0.002 0.937 0.004

***

Record 4
Y3SiRh meta-GGA SCAN single point on PBEsol structure; formation energy (no corrections) = -1.31 eV per formula unit; magnetic moment = 0.0 Bohr magnetons per cell; symmetry = No. 221; D(E_F) = 0.857 states/eV per atom
1.0
-2.717 -4.385 0.224
3.074 -1.712 3.779
-3.135 2.122 3.511
Y Si Rh
3 1 1
direct
0.500 0.000 0.000
0.000 0.000 0.500
0.000 0.500 0.000
0.500 0.500 0.500
0.000 0.000 0.000

***

Record 5
Y3Si3Rh2 meta-GGA SCAN single point on PBEsol structure; formation energy (no corrections) = -8.82 eV per formula unit; magnetic moment = 0.0 Bohr magnetons per cell; symmetry = No. 63; D(E_F) = 0.443 states/eV per atom
1.0
4.137 0.000 0.000
-2.068 5.287 0.000
0.000 0.000 13.579
Rh Y Si
4 6 6
direct
0.785 0.569 0.420
0.215 0.431 0.580
0.215 0.431 0.920
0.785 0.569 0.080
0.922 0.843 0.886
0.356 0.713 0.250
0.644 0.287 0.750
0.078 0.157 0.114
0.922 0.843 0.614
0.078 0.157 0.386
0.389 0.778 0.460
0.335 0.671 0.750
0.665 0.329 0.250
0.611 0.222 0.960
0.389 0.778 0.040
0.611 0.222 0.540

***

Record 6
Y2Si5Rh3 meta-GGA SCAN single point on PBEsol structure; formation energy (no corrections) = -10.85 eV per formula unit; magnetic moment = 0.0 Bohr magnetons per cell; symmetry = No. 15; D(E_F) = 0.339 states/eV per atom
1.0
-0.096 3.708 4.230
2.566 -7.073 2.807
6.618 1.230 -4.379
Rh Y Si
6 4 10
direct
0.750 0.001 0.999
0.627 0.459 0.739
0.873 0.261 0.541
0.373 0.541 0.261
0.250 0.999 0.001
0.127 0.739 0.459
0.760 0.401 0.133
0.740 0.867 0.599
0.240 0.599 0.867
0.260 0.133 0.401
0.750 0.209 0.791
0.250 0.224 0.776
0.750 0.513 0.487
0.337 0.940 0.733
0.163 0.267 0.060
0.750 0.776 0.224
0.250 0.791 0.209
0.663 0.060 0.267
0.837 0.733 0.940
0.250 0.487 0.513

***

Record 7
YSiRh2 meta-GGA SCAN single point on PBEsol structure; formation energy (no corrections) = -4.67 eV per formula unit; magnetic moment = 0.0 Bohr magnetons per cell; symmetry = No. 194; D(E_F) = 0.351 states/eV per atom
1.0
-4.636 -0.860 -2.762
2.436 -4.139 2.606
-7.931 3.106 12.346
Si Y Rh
6 6 12
direct
0.000 0.000 0.250
0.000 0.000 0.000
0.667 0.333 0.250
0.000 0.000 0.750
0.333 0.667 0.750
0.000 0.000 0.500
0.667 0.333 0.538
0.667 0.333 0.962
0.333 0.667 0.462
0.333 0.667 0.250
0.333 0.667 0.038
0.667 0.333 0.750
0.667 0.833 0.870
0.167 0.833 0.630
0.833 0.167 0.130
0.833 0.167 0.370
0.167 0.833 0.870
0.833 0.667 0.130
0.167 0.333 0.630
0.333 0.167 0.370
0.167 0.333 0.870
0.667 0.833 0.630
0.833 0.667 0.370
0.333 0.167 0.130

***

Record 8
Y4Si5Rh9 meta-GGA SCAN single point on PBEsol structure; formation energy (no corrections) = -21.15 eV per formula unit; magnetic moment = 0.0 Bohr magnetons per cell; symmetry = No. 166; D(E_F) = 0.418 states/eV per atom
1.0
-2.059 -4.752 1.703
1.720 -4.670 -2.225
7.916 -3.857 7.536
Rh Si Y
9 5 4
direct
0.500 0.500 0.000
0.391 0.892 0.326
0.609 0.108 0.674
0.609 0.609 0.674
0.500 0.000 0.000
0.892 0.391 0.326
0.391 0.391 0.326
0.000 0.500 0.000
0.108 0.609 0.674
0.278 0.278 0.165
0.500 0.500 0.500
0.388 0.388 0.835
0.612 0.612 0.165
0.722 0.722 0.835
0.852 0.852 0.445
0.051 0.051 0.847
0.148 0.148 0.555
0.949 0.949 0.153

***

Record 9
YSi2Rh meta-GGA SCAN single point on PBEsol structure; formation energy (no corrections) = -3.99 eV per formula unit; magnetic moment = 0.0 Bohr magnetons per cell; symmetry = No. 166; D(E_F) = 0.319 states/eV per atom
1.0
4.029 0.000 0.000
2.015 3.490 0.000
2.015 1.163 4.857
Si Rh Y
2 1 1
direct
0.288 0.288 0.136
0.712 0.712 0.864
0.000 0.000 0.000
0.500 0.500 0.500

***

Record 10
YSiRh2 meta-GGA SCAN single point on PBEsol structure; formation energy (no corrections) = -2.68 eV per formula unit; magnetic moment = 0.0 Bohr magnetons per cell; symmetry = No. 25; D(E_F) = 0.416 states/eV per atom
1.0
-2.113 2.168 0.375
-0.256 -0.890 3.699
4.031 3.726 1.175
Rh Si Y
2 1 1
direct
0.000 0.000 0.004
0.500 0.500 0.299
0.000 0.000 0.424
0.500 0.500 0.773

***

Record 11
YSi2Rh meta-GGA SCAN single point on PBEsol structure; formation energy (no corrections) = -1.79 eV per formula unit; magnetic moment = 0.0 Bohr magnetons per cell; symmetry = No. 71; D(E_F) = 0.401 states/eV per atom
1.0
-1.546 2.375 0.810
-0.128 -1.735 4.842
4.688 1.883 -1.935
Si Rh Y
2 1 1
direct
0.215 0.215 0.431
0.785 0.785 0.569
0.500 0.000 0.000
0.000 0.500 0.000

***

Record 12
Y2Si2Rh meta-GGA SCAN single point on PBEsol structure; formation energy (no corrections) = -5.03 eV per formula unit; magnetic moment = 0.0 Bohr magnetons per cell; symmetry = No. 127; D(E_F) = 0.459 states/eV per atom
1.0
4.409 0.000 0.000
0.000 6.486 0.000
0.000 0.000 6.486
Si Rh Y
4 2 4
direct
0.000 0.134 0.366
0.000 0.866 0.634
0.000 0.366 0.866
0.000 0.634 0.134
0.000 0.000 0.000
0.000 0.500 0.500
0.500 0.825 0.325
0.500 0.325 0.175
0.500 0.175 0.675
0.500 0.675 0.825